# 1
Density functional theory data (SCAN) for a PBEsol-optimized structure of Bi3BH.

Output
As for the density of states at the Fermi level: 0.474 states/eV/atom.

POSCAR file:
```
Bi3BH
1.0
4.7519 0.0000 0.0000
0.0000 4.7519 0.0000
0.0000 0.0000 4.7519
Bi B H
3 1 1
Direct
0.0000 0.0000 0.5000
0.0000 0.5000 0.0000
0.5000 0.0000 0.0000
0.5000 0.5000 0.5000
0.0000 0.0000 0.0000
```

# 2
Density functional theory data (SCAN) for a PBEsol-optimized structure of Bi2BH.

Output
As for the density of states at the Fermi level: 0.476 states/eV/atom.

POSCAR file:
```
Bi2BH
1.0
0.0000 3.2559 3.2559
3.2559 0.0000 3.2559
3.2559 3.2559 0.0000
Bi B H
2 1 1
Direct
0.2500 0.2500 0.2500
0.7500 0.7500 0.7500
0.0000 0.0000 0.0000
0.5000 0.5000 0.5000
```

# 3
Density functional theory data (SCAN) for a PBEsol-optimized structure of BiB4H3O9.

Output
As for the density of states at the Fermi level: 0.000 states/eV/atom.

POSCAR file:
```
BiB4H3O9
1.0
4.3098 0.0000 0.0000
-0.0080 8.6118 0.0000
-1.8730 -4.2148 9.3830
Bi B H O
2 8 6 18
Direct
0.1521 0.3278 0.0460
0.8479 0.6722 0.9540
0.0092 0.1028 0.2421
0.1094 0.7890 0.5097
0.2619 0.6337 0.6556
0.4619 0.9438 0.1320
0.5381 0.0562 0.8680
0.7381 0.3663 0.3444
0.8906 0.2110 0.4903
0.9908 0.8972 0.7579
0.0317 0.3453 0.7799
0.0704 0.9191 0.3850
0.4445 0.5492 0.3981
0.5555 0.4508 0.6019
0.9296 0.0809 0.6150
0.9683 0.6547 0.2201
0.0173 0.0955 0.3831
0.0897 0.7311 0.7520
0.1057 0.4300 0.8811
0.1172 0.8030 0.3853
0.2143 0.0378 0.8656
0.2450 0.6494 0.5259
0.3201 0.0847 0.2072
0.3325 0.7822 0.0507
0.4393 0.5142 0.6803
0.5607 0.4858 0.3197
0.6675 0.2178 0.9493
0.6799 0.9153 0.7928
0.7550 0.3506 0.4741
0.7857 0.9622 0.1344
0.8828 0.1970 0.6147
0.8943 0.5700 0.1189
0.9103 0.2689 0.2480
0.9827 0.9045 0.6169
```

# 4
Density functional theory data (SCAN) for a PBEsol-optimized structure of BiB2HSe.

Output
As for the density of states at the Fermi level: 0.408 states/eV/atom.

POSCAR file:
```
BiB2HSe
1.0
4.5453 0.0000 0.0000
0.0000 4.5453 0.0000
0.0000 0.0000 3.4192
Bi B H Se
1 2 1 1
Direct
0.0000 0.0000 0.0000
0.0000 0.5000 0.5000
0.5000 0.0000 0.5000
0.5000 0.5000 0.5000
0.5000 0.5000 0.0000
```

# 5
Density functional theory data (SCAN) for a PBEsol-optimized structure of Hf2BiB.

Output
The formation energy comes out at 0.585 eV per atom. As for the density of states at the Fermi level: 1.319 states/eV/atom.

POSCAR file:
```
Hf2BiB
1.0
0.0000 3.3387 3.3387
3.3387 0.0000 3.3387
3.3387 3.3387 0.0000
Hf Bi B
2 1 1
Direct
0.2500 0.2500 0.2500
0.7500 0.7500 0.7500
0.0000 0.0000 0.0000
0.5000 0.5000 0.5000
```

# 6
Density functional theory data (SCAN) for a PBEsol-optimized structure of Hg2BiB.

Output
The formation energy comes out at 1.147 eV per atom. As for the density of states at the Fermi level: 0.455 states/eV/atom.

POSCAR file:
```
Hg2BiB
1.0
0.0000 3.5211 3.5211
3.5211 0.0000 3.5211
3.5211 3.5211 0.0000
Hg Bi B
2 1 1
Direct
0.2500 0.2500 0.2500
0.7500 0.7500 0.7500
0.0000 0.0000 0.0000
0.5000 0.5000 0.5000
```

# 7
Density functional theory data (SCAN) for a PBEsol-optimized structure of BiBI2.

Output
As for the density of states at the Fermi level: 0.560 states/eV/atom.

POSCAR file:
```
BiBI2
1.0
0.0000 3.7519 3.7519
3.7519 0.0000 3.7519
3.7519 3.7519 0.0000
Bi B I
1 1 2
Direct
0.0000 0.0000 0.0000
0.5000 0.5000 0.5000
0.2500 0.2500 0.2500
0.7500 0.7500 0.7500
```

# 8
Density functional theory data (SCAN) for a PBEsol-optimized structure of BiB2I.

Output
As for the density of states at the Fermi level: 0.560 states/eV/atom.

POSCAR file:
```
BiB2I
1.0
0.0000 3.3145 3.3145
3.3145 0.0000 3.3145
3.3145 3.3145 0.0000
Bi B I
1 2 1
Direct
0.0000 0.0000 0.0000
0.2500 0.2500 0.2500
0.7500 0.7500 0.7500
0.5000 0.5000 0.5000
```

# 9
Density functional theory data (SCAN) for a PBEsol-optimized structure of BiBIO2.

Output
As for the density of states at the Fermi level: 0.180 states/eV/atom.

POSCAR file:
```
BiBIO2
1.0
4.1849 0.0000 0.0000
0.0000 4.1849 0.0000
0.0000 0.0000 6.5552
Bi B I O
1 1 1 2
Direct
0.0000 0.0000 0.0000
0.5000 0.5000 0.5000
0.0000 0.0000 0.5000
0.0000 0.5000 0.0000
0.5000 0.0000 0.0000
```

# 10
Density functional theory data (SCAN) for a PBEsol-optimized structure of ZrBiBI2.

Output
As for the density of states at the Fermi level: 0.722 states/eV/atom.

POSCAR file:
```
ZrBiBI2
1.0
4.8445 0.0000 0.0000
0.0000 4.8445 0.0000
0.0000 0.0000 5.1328
Zr Bi B I
1 1 1 2
Direct
0.0000 0.0000 0.0000
0.5000 0.5000 0.0000
0.5000 0.5000 0.5000
0.0000 0.5000 0.5000
0.5000 0.0000 0.5000
```

# 11
Density functional theory data (SCAN) for a PBEsol-optimized structure of Re2BiBIr.

Output
The formation energy comes out at 3.680 eV per atom. As for the density of states at the Fermi level: 1.006 states/eV/atom.

POSCAR file:
```
Re2BiBIr
1.0
4.9557 0.0000 0.0000
0.0000 4.9557 0.0000
0.0000 0.0000 4.1423
Re Bi B Ir
2 1 1 1
Direct
0.0000 0.5000 0.0000
0.5000 0.0000 0.0000
0.0000 0.0000 0.0000
0.0000 0.0000 0.5000
0.5000 0.5000 0.5000
```

# 12
Density functional theory data (SCAN) for a PBEsol-optimized structure of KBi3B.

Output
The formation energy comes out at 2.103 eV per atom. As for the density of states at the Fermi level: 1.032 states/eV/atom.

POSCAR file:
```
KBi3B
1.0
5.7745 0.0000 0.0000
0.0000 5.7745 0.0000
0.0000 0.0000 5.7745
K Bi B
1 3 1
Direct
0.0000 0.0000 0.0000
0.0000 0.0000 0.5000
0.0000 0.5000 0.0000
0.5000 0.0000 0.0000
0.5000 0.5000 0.5000
```

# 13
Density functional theory data (SCAN) for a PBEsol-optimized structure of KMn2BiB.

Output
The formation energy comes out at 1.233 eV per atom. As for the density of states at the Fermi level: 0.597 states/eV/atom.

POSCAR file:
```
KMn2BiB
1.0
5.1478 0.0000 0.0000
0.0000 5.1478 0.0000
0.0000 0.0000 5.0065
K Mn Bi B
1 2 1 1
Direct
0.0000 0.0000 0.0000
0.0000 0.5000 0.5000
0.5000 0.0000 0.5000
0.5000 0.5000 0.5000
0.5000 0.5000 0.0000
```

# 14
Density functional theory data (SCAN) for a PBEsol-optimized structure of KBiB2Sb.

Output
As for the density of states at the Fermi level: 0.733 states/eV/atom.

POSCAR file:
```
KBiB2Sb
1.0
4.7308 0.0000 0.0000
0.0000 4.7308 0.0000
0.0000 0.0000 5.9527
K Bi B Sb
1 1 2 1
Direct
0.0000 0.0000 0.0000
0.5000 0.5000 0.0000
0.0000 0.5000 0.5000
0.5000 0.0000 0.5000
0.5000 0.5000 0.5000
```

# 15
Density functional theory data (SCAN) for a PBEsol-optimized structure of Li2BiBO4.

Output
The offset from the most stable computed form comes out at 0 meV per atom. As for the density of states at the Fermi level: 0.000 states/eV/atom.

POSCAR file:
```
Li2BiBO4
1.0
6.7487 0.0000 0.0000
0.0000 4.7504 0.0000
-0.9822 0.0000 11.2417
Li Bi B O
8 4 4 16
Direct
0.1014 0.2397 0.2040
0.1014 0.2603 0.7040
0.1835 0.2364 0.4279
0.1835 0.2636 0.9279
0.8165 0.7364 0.0721
0.8165 0.7636 0.5721
0.8986 0.7397 0.2960
0.8986 0.7603 0.7960
0.4771 0.7428 0.8644
0.4771 0.7572 0.3644
0.5229 0.2428 0.6356
0.5229 0.2572 0.1356
0.1966 0.7404 0.0928
0.1966 0.7596 0.5928
0.8034 0.2404 0.4072
0.8034 0.2596 0.9072
0.0652 0.6507 0.1699
0.0652 0.8493 0.6699
0.2204 0.0208 0.0647
0.2204 0.4792 0.5647
0.3084 0.5438 0.0339
0.3084 0.9562 0.5339
0.3729 0.2078 0.2996
0.3729 0.2922 0.7996
0.6271 0.7078 0.2004
0.6271 0.7922 0.7004
0.6916 0.0438 0.4661
0.6916 0.4562 0.9661
0.7796 0.5208 0.4353
0.7796 0.9792 0.9353
0.9348 0.1507 0.3301
0.9348 0.3493 0.8301
```

# 16
Density functional theory data (SCAN) for a PBEsol-optimized structure of Li3BiB4O9.

Output
As for the density of states at the Fermi level: 0.000 states/eV/atom.

POSCAR file:
```
Li3BiB4O9
1.0
5.6851 0.0000 0.0000
0.0000 8.2896 0.0000
-2.4509 0.0000 7.0155
Li Bi B O
6 2 8 18
Direct
0.0550 0.2500 0.4752
0.3090 0.5222 0.7573
0.3090 0.9778 0.7573
0.6910 0.0222 0.2427
0.6910 0.4778 0.2427
0.9450 0.7500 0.5248
0.1303 0.2500 0.0472
0.8697 0.7500 0.9528
0.2074 0.5444 0.3147
0.2074 0.9556 0.3147
0.4068 0.7500 0.5647
0.4879 0.2500 0.7250
0.5121 0.7500 0.2750
0.5932 0.2500 0.4353
0.7926 0.0444 0.6853
0.7926 0.4556 0.6853
0.0276 0.0688 0.2353
0.0276 0.4312 0.2353
0.2356 0.6063 0.4934
0.2356 0.8937 0.4934
0.2791 0.2500 0.7893
0.3483 0.6025 0.2068
0.3483 0.8975 0.2068
0.3998 0.2500 0.5164
0.4829 0.7500 0.7713
0.5171 0.2500 0.2287
0.6002 0.7500 0.4836
0.6517 0.1025 0.7932
0.6517 0.3975 0.7932
0.7209 0.7500 0.2107
0.7644 0.1063 0.5066
0.7644 0.3937 0.5066
0.9724 0.5688 0.7647
0.9724 0.9312 0.7647
```

# 17
Density functional theory data (SCAN) for a PBEsol-optimized structure of Li5Bi2B4O12.

Output
As for the density of states at the Fermi level: 0.225 states/eV/atom.

POSCAR file:
```
Li5Bi2B4O12
1.0
8.7598 0.0000 0.0000
0.0000 6.3521 0.0000
-4.7073 0.0000 9.1851
Li Bi B O
10 4 8 24
Direct
0.0000 0.0173 0.0000
0.0000 0.9827 0.5000
0.2177 0.4805 0.5609
0.2177 0.5195 0.0609
0.4222 0.0200 0.5281
0.4222 0.9800 0.0281
0.5360 0.3232 0.7138
0.5360 0.6768 0.2138
0.6716 0.4674 0.0916
0.6716 0.5326 0.5916
0.0242 0.2678 0.7548
0.0242 0.7322 0.2548
0.6411 0.2137 0.3452
0.6411 0.7863 0.8452
0.2930 0.0965 0.7327
0.2930 0.9035 0.2327
0.3695 0.4189 0.3712
0.3695 0.5811 0.8712
0.7678 0.0689 0.1540
0.7678 0.9311 0.6540
0.8800 0.4275 0.9378
0.8800 0.5725 0.4378
0.0307 0.3171 0.9841
0.0307 0.6829 0.4841
0.1660 0.2009 0.6135
0.1660 0.7991 0.1135
0.2229 0.4861 0.3737
0.2229 0.5139 0.8737
0.2538 0.0509 0.8443
0.2538 0.9491 0.3443
0.4096 0.4506 0.2563
0.4096 0.5494 0.7563
0.4467 0.0517 0.7310
0.4467 0.9483 0.2310
0.4931 0.3139 0.4944
0.4931 0.6861 0.9944
0.6170 0.1817 0.1034
0.6170 0.8183 0.6034
0.7651 0.4454 0.7914
0.7651 0.5546 0.2914
0.8242 0.0234 0.5626
0.8242 0.9766 0.0626
0.8400 0.4628 0.5342
0.8400 0.5372 0.0342
0.8622 0.0356 0.3017
0.8622 0.9644 0.8017
```

# 18
Density functional theory data (SCAN) for a PBEsol-optimized structure of Li2BiBO5.

POSCAR file:
```
Li2BiBO5
1.0
6.2374 0.0000 0.0000
0.0000 6.2374 0.0000
0.0000 0.0000 4.6435
Li Bi B O
4 2 2 10
Direct
0.0000 0.0000 0.0000
0.0000 0.5000 0.0000
0.5000 0.0000 0.0000
0.5000 0.5000 0.0000
0.2500 0.2500 0.4476
0.7500 0.7500 0.5524
0.2500 0.7500 0.5000
0.7500 0.2500 0.5000
0.0687 0.7500 0.7047
0.2500 0.2500 0.8837
0.2500 0.5687 0.2953
0.2500 0.9313 0.2953
0.4313 0.7500 0.7047
0.5687 0.2500 0.2953
0.7500 0.0687 0.7047
0.7500 0.4313 0.7047
0.7500 0.7500 0.1163
0.9313 0.2500 0.2953
```

| no. | VASP energy (eV/cell) | calculated density (g/cm³) |
| --- | --- | --- |
| 1 | -240.45 | 9.9 |
| 2 | -163.40 | 10.3 |
| 3 | -418.19 | 3.8 |
| 4 | -108.37 | 7.3 |
| 5 | -209.02 | 12.9 |
| 6 | -217.75 | 11.8 |
| 7 | -154.43 | 7.4 |
| 8 | -121.98 | 8.2 |
| 9 | -132.01 | 5.5 |
| 10 | -185.63 | 7.8 |
| 11 | -280.90 | 12.8 |
| 12 | -240.98 | 5.8 |
| 13 | -124.68 | 4.6 |
| 14 | -131.79 | 4.9 |
| 15 | -527.56 | 5.5 |
| 16 | -423.01 | 4.2 |
| 17 | -646.27 | 4.5 |
| 18 | -276.15 | 5.8 |